A plane-wave DFT calculation with PBE was carried out for a geometry-optimized ErSb2Pd8 structure.

Properties
Density: 10.44 Mg/m³
Symmetry: C2/m, No. 12
Calculated total energy: -59.65 eV/cell
E_form (uncorrected): -0.482 eV per atom
Density of states at the Fermi level: 3.88 states/eV/cell
Magnetization: 0.0000 μB/atom

POSCAR file:
```
ErSb2Pd8
1.0
3.8319 -6.0445 0.0000
3.8319 6.0445 0.0000
-1.6414 0.0000 4.3352
Er Sb Pd
1 2 8
Direct
0.0000 0.0000 0.0000 Er
0.3180 0.6820 0.5000 Sb
0.6820 0.3180 0.5000 Sb
0.0753 0.3143 0.6067 Pd
0.2285 0.7715 0.0000 Pd
0.3143 0.0753 0.6067 Pd
0.3885 0.3885 0.1741 Pd
0.6115 0.6115 0.8259 Pd
0.6857 0.9247 0.3933 Pd
0.7715 0.2285 0.0000 Pd
0.9247 0.6857 0.3933 Pd
```